# SrLiVO4

A geometry-optimized SrLiVO4 structure (GGA+U, Alexandria via LeMat-Bulk).

Properties
density	2.92	Mg/m³
uncorrected energy	-47.22	eV per cell
space group	No. 82
crystal system	tetragonal
N(E_F)	0.00	states/eV per cell

Geometry as POSCAR:
```
SrLiVO4
1.0
-2.7307 2.7307 3.9937
2.7307 -2.7307 3.9937
2.7307 2.7307 -3.9937
Sr Li V O
1 1 1 4
Direct
0.0000 0.0000 0.0000 Sr
0.5000 0.5000 0.0000 Li
0.2500 0.7500 0.5000 V
0.2219 0.6553 0.1325 O
0.3447 0.4772 0.5665 O
0.5228 0.0894 0.8675 O
0.9106 0.7781 0.4335 O
```